# 1
Density functional theory data (PBE-GGA) for a relaxed structure of Mg2PbCl.

a b c (Å): 5.5387 5.5387 6.3935
angles (deg): 90.00 90.00 90.00
With the nearest neighbours (Å) after each atom.
Sites, in units of the cell vectors:
Mg1 0.0000 0.5000 0.2500  2 Mg 3.20, 4 Cl 3.20, 4 Pb 3.20
Mg2 0.0000 0.5000 0.7500  2 Mg 3.20, 4 Cl 3.20, 4 Pb 3.20
Mg3 0.5000 0.0000 0.2500  2 Mg 3.20, 4 Cl 3.20, 4 Pb 3.20
Mg4 0.5000 0.0000 0.7500  2 Mg 3.20, 4 Cl 3.20, 4 Pb 3.20
Pb1 0.0000 0.0000 0.0000  2 Cl 3.20, 8 Mg 3.20
Pb2 0.5000 0.5000 0.5000  2 Cl 3.20, 8 Mg 3.20
Cl1 0.0000 0.0000 0.5000  2 Pb 3.20, 8 Mg 3.20
Cl2 0.5000 0.5000 0.0000  2 Pb 3.20, 8 Mg 3.20

VASP energy: -19.31 eV per cell
Energy relative to the elements, uncorrected: -0.2273 eV per atom
Space-group type: I4/mmm (139)
Fermi-level density of states: 2.45 states/eV/f.u.

***

# 2
Density functional theory data (PBE-GGA) for a relaxed structure of Sr3CrFe.

a b c (Å): 5.6465 5.6465 5.6465
angles (deg): 90.00 90.00 90.00
With the nearest neighbours (Å) after each atom.
Sites, in units of the cell vectors:
Sr1 0.0000 0.0000 0.5000  2 Fe 2.82
Sr2 0.0000 0.5000 0.0000  2 Fe 2.82
Sr3 0.5000 0.0000 0.0000  2 Fe 2.82
Cr1 0.5000 0.5000 0.5000  12 Sr 3.99
Fe1 0.0000 0.0000 0.0000  6 Sr 2.82

VASP energy: -18.69 eV per cell
Space-group type: Pm-3m (221)
Fermi-level density of states: 16.93 states/eV/f.u.
Formation energy from the elements: 0.89 eV/atom

***

# 3
Density functional theory data (PBE-GGA) for a relaxed structure of CuAs3Se.

a b c (Å): 4.7167 4.7167 4.7167
angles (deg): 90.00 90.00 90.00
With the nearest neighbours (Å) after each atom.
Sites, in units of the cell vectors:
Cu1 0.0000 0.0000 0.0000  6 As 2.36
As1 0.0000 0.0000 0.5000  2 Cu 2.36
As2 0.0000 0.5000 0.0000  2 Cu 2.36
As3 0.5000 0.0000 0.0000  2 Cu 2.36
Se1 0.5000 0.5000 0.5000  12 As 3.34

VASP energy: -18.11 eV per cell
Energy relative to the elements, uncorrected: 0.6830 eV per atom
Space-group type: Pm-3m (221)
Fermi-level density of states: 4.23 states/eV/f.u.

***

# 4
Density functional theory data (PBE-GGA) for a relaxed structure of KScHg2.

a b c (Å): 7.5278 7.5278 7.5278
angles (deg): 90.00 90.00 90.00
With the nearest neighbours (Å) after each atom.
Sites, in units of the cell vectors:
K1 0.0000 0.0000 0.0000  8 Hg 3.26
K2 0.0000 0.5000 0.5000  8 Hg 3.26
K3 0.5000 0.0000 0.5000  8 Hg 3.26
K4 0.5000 0.5000 0.0000  8 Hg 3.26
Sc1 0.0000 0.0000 0.5000  8 Hg 3.26
Sc2 0.0000 0.5000 0.0000  8 Hg 3.26
Sc3 0.5000 0.0000 0.0000  8 Hg 3.26
Sc4 0.5000 0.5000 0.5000  8 Hg 3.26
Hg1 0.2500 0.2500 0.2500  4 K 3.26, 4 Sc 3.26
Hg2 0.2500 0.2500 0.7500  4 K 3.26, 4 Sc 3.26
Hg3 0.2500 0.7500 0.2500  4 K 3.26, 4 Sc 3.26
Hg4 0.2500 0.7500 0.7500  4 K 3.26, 4 Sc 3.26
Hg5 0.7500 0.2500 0.2500  4 K 3.26, 4 Sc 3.26
Hg6 0.7500 0.2500 0.7500  4 K 3.26, 4 Sc 3.26
Hg7 0.7500 0.7500 0.2500  4 K 3.26, 4 Sc 3.26
Hg8 0.7500 0.7500 0.7500  4 Sc 3.26, 4 K 3.26

VASP energy: -32.34 eV per cell
Space-group type: Fm-3m (225)
Fermi-level density of states: 2.61 states/eV/f.u.
Formation energy from the elements: -0.01 eV/atom

***

# 5
Density functional theory data (PBE-GGA) for a relaxed structure of DyHoMgOs.

a b c (Å): 3.3958 3.3958 8.4481
angles (deg): 90.00 90.00 90.00
With the nearest neighbours (Å) after each atom.
Sites, in units of the cell vectors:
Dy1 0.0000 0.0000 0.0000  4 Os 2.92
Ho1 0.0000 0.0000 0.6081  4 Os 2.91
Mg1 0.5000 0.5000 0.3052  4 Mg 3.40, 4 Ho 3.51, 4 Dy 3.52
Os1 0.5000 0.5000 0.8029  4 Ho 2.91, 4 Dy 2.92

VASP energy: -22.86 eV per cell
Space-group type: P4mm (99)
Fermi-level density of states: 2.64 states/eV/f.u.
Formation energy from the elements: -0.21 eV/atom

***

# 6
Density functional theory data (PBE-GGA) for a relaxed structure of Fe2PtCl.

a b c (Å): 10.3967 2.8637 4.1389
angles (deg): 90.00 96.85 90.00
With the nearest neighbours (Å) after each atom.
Sites, in units of the cell vectors:
Fe1 0.0000 0.0000 0.0000  4 Cl 2.52-2.60, 2 Fe 2.52, 1 Pt 2.71
Fe2 0.1662 0.5000 0.3327  1 Cl 2.39, 2 Fe 2.52, 2 Pt 2.62
Fe3 0.5000 0.5000 0.0000  4 Cl 2.52-2.60, 2 Fe 2.52, 1 Pt 2.71
Fe4 0.6662 0.0000 0.3327  1 Cl 2.39, 2 Fe 2.52, 2 Pt 2.62
Pt1 0.2496 0.0000 0.8702  5 Fe 2.62-2.71, 1 Cl 2.77, 2 Pt 2.86
Pt2 0.7496 0.5000 0.8702  5 Fe 2.62-2.71, 1 Cl 2.77, 2 Pt 2.86
Cl1 0.4542 0.0000 0.4989  5 Fe 2.39-2.60
Cl2 0.9542 0.5000 0.4989  5 Fe 2.39-2.60

VASP energy: -47.99 eV per cell
Energy relative to the elements, uncorrected: 0.2047 eV per atom
Space-group type: Cm (8)
Fermi-level density of states: 2.83 states/eV/f.u.

***

# 7
Density functional theory data (PBE-GGA) for a relaxed structure of Rb2LiIn2Se4.

a b c (Å): 7.7541 7.7541 7.7949
angles (deg): 104.09 104.09 36.94
With the nearest neighbours (Å) after each atom.
Sites, in units of the cell vectors:
Rb1 0.1293 0.1293 0.0691  7 Se 3.56-3.70, 1 Rb 3.68, 1 In 3.91
Rb2 0.8707 0.8707 0.9309  7 Se 3.56-3.70, 1 Rb 3.68, 1 In 3.91
Li1 0.0000 0.0000 0.5000  6 Se 2.94-3.09, 4 In 3.22
In1 0.3548 0.3548 0.4666  3 Se 2.63-2.72
In2 0.6452 0.6452 0.5334  3 Se 2.63-2.72
Se1 0.2030 0.2030 0.6682  3 In 2.72-3.04, 1 Li 2.94
Se2 0.4974 0.4974 0.2582  1 In 2.63
Se3 0.5026 0.5026 0.7418  1 In 2.63
Se4 0.7970 0.7970 0.3318  3 In 2.72-3.04, 1 Li 2.94

VASP energy: -30.86 eV per cell
Energy relative to the elements, uncorrected: -0.8441 eV per atom
Space-group type: C2/m (12)
Fermi-level density of states: 1.39 states/eV/f.u.

***

# 8
Density functional theory data (PBE-GGA) for a relaxed structure of Cd3Ni.

a b c (Å): 5.0205 5.0205 5.0205
angles (deg): 90.00 90.00 90.00
With the nearest neighbours (Å) after each atom.
Sites, in units of the cell vectors:
Cd1 0.0000 0.0000 0.5000  2 Ni 2.51
Cd2 0.0000 0.5000 0.0000  2 Ni 2.51
Cd3 0.5000 0.0000 0.0000  2 Ni 2.51
Ni1 0.0000 0.0000 0.0000  6 Cd 2.51

VASP energy: -7.54 eV per cell
Space-group type: Pm-3m (221)
Fermi-level density of states: 2.28 states/eV/f.u.
Formation energy from the elements: 0.25 eV/atom

***

# 9
Density functional theory data (PBE-GGA) for a relaxed structure of Re2HgOs.

a b c (Å): 2.7877 2.7877 8.2787
angles (deg): 90.00 90.00 90.00
With the nearest neighbours (Å) after each atom.
Sites, in units of the cell vectors:
Re1 0.0000 0.0000 0.2258  4 Os 2.72, 4 Re 2.79, 4 Hg 3.01
Re2 0.0000 0.0000 0.7742  4 Os 2.72, 4 Re 2.79, 4 Hg 3.01
Hg1 0.5000 0.5000 0.5000  4 Hg 2.79, 8 Re 3.01
Os1 0.5000 0.5000 0.0000  8 Re 2.72, 4 Os 2.79

VASP energy: -34.41 eV per cell
Space-group type: P4/mmm (123)
Fermi-level density of states: 4.83 states/eV/f.u.
Formation energy from the elements: 0.50 eV/atom

***

# 10
Density functional theory data (PBE-GGA) for a relaxed structure of Cs3As11.

a b c (Å): 10.3926 10.3926 19.9213
angles (deg): 93.35 93.35 99.49
With the nearest neighbours (Å) after each atom.
Sites, in units of the cell vectors:
Cs1 0.0307 0.7435 0.1191  8 As 3.73-4.07
Cs2 0.2031 0.7102 0.6096  9 As 3.83-4.21
Cs3 0.2565 0.9693 0.3809  8 As 3.73-4.07
Cs4 0.2898 0.7969 0.8904  9 As 3.83-4.21
Cs5 0.2977 0.4674 0.3723  10 As 3.78-4.10
Cs6 0.4674 0.2977 0.8723  10 As 3.78-4.10
Cs7 0.5326 0.7023 0.1277  10 As 3.78-4.10
Cs8 0.7023 0.5326 0.6277  10 As 3.78-4.10
Cs9 0.7102 0.2031 0.1096  9 As 3.83-4.21
Cs10 0.7435 0.0307 0.6191  8 As 3.73-4.07
Cs11 0.7969 0.2898 0.3904  9 As 3.83-4.21
Cs12 0.9693 0.2565 0.8809  8 As 3.73-4.07
As1 0.0070 0.6387 0.3906  2 As 2.42
As2 0.0163 0.2865 0.2429  2 As 2.42-2.43
As3 0.0523 0.1464 0.0593  3 As 2.50-2.52
As4 0.0632 0.0940 0.1812  3 As 2.42-2.52
As5 0.0692 0.3900 0.0678  3 As 2.43-2.50
As6 0.0940 0.0632 0.6812  3 As 2.42-2.52
As7 0.1162 0.2735 0.5234  3 As 2.42-2.51
As8 0.1196 0.3035 0.7057  3 As 2.42-2.51
As9 0.1464 0.0523 0.5593  3 As 2.50-2.52
As10 0.1620 0.4440 0.1853  3 As 2.43-2.51
As11 0.2570 0.4743 0.0064  2 As 2.43
As12 0.2735 0.1162 0.0234  3 As 2.42-2.51
As13 0.2865 0.0163 0.7429  2 As 2.42-2.43
As14 0.3035 0.1196 0.2057  3 As 2.42-2.51
As15 0.3371 0.3991 0.5571  3 As 2.43-2.51
As16 0.3544 0.3719 0.6815  3 As 2.51
As17 0.3613 0.9930 0.1094  2 As 2.42
As18 0.3719 0.3544 0.1815  3 As 2.51
As19 0.3900 0.0692 0.5678  3 As 2.43-2.50
As20 0.3991 0.3371 0.0571  3 As 2.43-2.51
As21 0.4440 0.1620 0.6853  3 As 2.43-2.51
As22 0.4743 0.2570 0.5064  2 As 2.43
As23 0.5257 0.7430 0.4936  2 As 2.43
As24 0.5560 0.8380 0.3147  3 As 2.43-2.51
As25 0.6009 0.6629 0.9429  3 As 2.43-2.51
As26 0.6100 0.9308 0.4322  3 As 2.43-2.50
As27 0.6281 0.6456 0.8185  3 As 2.51
As28 0.6387 0.0070 0.8906  2 As 2.42
As29 0.6456 0.6281 0.3185  3 As 2.51
As30 0.6629 0.6009 0.4429  3 As 2.43-2.51
As31 0.6965 0.8804 0.7943  3 As 2.42-2.51
As32 0.7135 0.9837 0.2571  2 As 2.42-2.43
As33 0.7265 0.8838 0.9766  3 As 2.42-2.51
As34 0.7430 0.5257 0.9936  2 As 2.43
As35 0.8380 0.5560 0.8147  3 As 2.43-2.51
As36 0.8536 0.9477 0.4407  3 As 2.50-2.52
As37 0.8804 0.6965 0.2943  3 As 2.42-2.51
As38 0.8838 0.7265 0.4766  3 As 2.42-2.51
As39 0.9060 0.9368 0.3188  3 As 2.42-2.52
As40 0.9308 0.6100 0.9322  3 As 2.43-2.50
As41 0.9368 0.9060 0.8188  3 As 2.42-2.52
As42 0.9477 0.8536 0.9407  3 As 2.50-2.52
As43 0.9837 0.7135 0.7571  2 As 2.42-2.43
As44 0.9930 0.3613 0.6094  2 As 2.42

VASP energy: -232.11 eV per cell
Space-group type: C2/c (15)
Formation energy from the elements: -0.31 eV/atom

***

# 11
Density functional theory data (PBE-GGA) for a relaxed structure of IrAuBr2.

a b c (Å): 7.4568 7.5806 3.1172
angles (deg): 90.00 90.00 90.00
With the nearest neighbours (Å) after each atom.
Sites, in units of the cell vectors:
Ir1 0.0000 0.0000 0.0000  4 Br 2.66
Ir2 0.5000 0.5000 0.0000  4 Br 2.66
Au1 0.0000 0.5000 0.0000  4 Br 2.66
Au2 0.5000 0.0000 0.0000  4 Br 2.66
Br1 0.2500 0.2500 0.0000  2 Ir 2.66, 2 Au 2.66
Br2 0.2500 0.7500 0.0000  2 Ir 2.66, 2 Au 2.66
Br3 0.7500 0.2500 0.0000  2 Ir 2.66, 2 Au 2.66
Br4 0.7500 0.7500 0.0000  2 Ir 2.66, 2 Au 2.66

VASP energy: -24.81 eV per cell
Energy relative to the elements, uncorrected: 0.7703 eV per atom
Space-group type: Cmmm (65)
Fermi-level density of states: 3.25 states/eV/f.u.